Computed, not measured: a geometry-optimized Mn2CoNiN structure at the PBE level of DFT.

uncorrected formation energy: -0.002 eV/atom
relative energy among the computed polymorphs: 0.240 eV/f.u.

```
data_Mn2CoNiN
_space_group_name_H-M_alt 'P 4/m m m'
_space_group_IT_number 123
_space_group_name_Hall '-P 4 2'
_cell_length_a 3.700
_cell_length_b 3.700
_cell_length_c 3.710
_cell_angle_alpha 90.00
_cell_angle_beta 90.00
_cell_angle_gamma 90.00
loop_
_atom_site_label
_atom_site_type_symbol
_atom_site_fract_x
_atom_site_fract_y
_atom_site_fract_z
Mn1 Mn 0.000 0.500 0.000
Co1 Co 0.000 0.000 0.500
Ni1 Ni 0.500 0.500 0.500
N1 N 0.000 0.000 0.000
```

Computed, not measured: a geometry-optimized CaNdGaPt structure at the PBE level of DFT.

relative energy among the computed polymorphs: 0.273 eV/f.u.
ΔH_f (0 K): -0.72 eV/atom

```
data_CaNdGaPt
_space_group_name_H-M_alt 'F -4 3 m'
_space_group_IT_number 216
_space_group_name_Hall 'F -4 2 3'
_cell_length_a 7.227
_cell_length_b 7.227
_cell_length_c 7.227
_cell_angle_alpha 90.00
_cell_angle_beta 90.00
_cell_angle_gamma 90.00
loop_
_atom_site_label
_atom_site_type_symbol
_atom_site_fract_x
_atom_site_fract_y
_atom_site_fract_z
Ca1 Ca 0.000 0.000 0.000
Nd1 Nd 0.000 0.000 0.500
Ga1 Ga 0.250 0.250 0.250
Pt1 Pt 0.250 0.250 0.750
```

Computed, not measured: a geometry-optimized CoCuHgOsRu structure at the PBE level of DFT.

relative energy among the computed polymorphs: 0.000 eV/f.u.
ΔH_f (0 K): 0.28 eV/atom

```
data_CoCuHgOsRu
_space_group_name_H-M_alt 'I 4 m m'
_space_group_IT_number 107
_space_group_name_Hall 'I 4 -2'
_cell_length_a 2.785
_cell_length_b 2.785
_cell_length_c 18.568
_cell_angle_alpha 90.00
_cell_angle_beta 90.00
_cell_angle_gamma 90.00
loop_
_atom_site_label
_atom_site_type_symbol
_atom_site_fract_x
_atom_site_fract_y
_atom_site_fract_z
Co1 Co 0.000 0.000 0.000
Cu1 Cu 0.000 0.000 0.585
Hg1 Hg 0.000 0.000 0.197
Os1 Os 0.000 0.000 0.410
Ru1 Ru 0.000 0.000 0.816
```

Computed, not measured: a geometry-optimized InTe3Mo3 structure at the PBE level of DFT.

uncorrected formation energy: -0.243 eV/atom

```
data_InTe3Mo3
_space_group_name_H-M_alt 'P 63/m'
_space_group_IT_number 176
_space_group_name_Hall '-P 6c'
_cell_length_a 9.5879
_cell_length_b 9.5879
_cell_length_c 4.6130
_cell_angle_alpha 90.00
_cell_angle_beta 90.00
_cell_angle_gamma 120.00
loop_
_atom_site_label
_atom_site_type_symbol
_atom_site_fract_x
_atom_site_fract_y
_atom_site_fract_z
In1 In 0.3333 0.6667 0.2500
Te1 Te 0.0597 0.3677 0.7500
Mo1 Mo 0.0275 0.1723 0.2500
```

Computed, not measured: a geometry-optimized Sr3ThPa3N8 structure at the PBE level of DFT.

uncorrected formation energy: -1.329 eV/atom

```
data_Sr3ThPa3N8
_space_group_name_H-M_alt 'R -3 m'
_space_group_IT_number 166
_space_group_name_Hall '-R 3 2"'
_cell_length_a 7.2624
_cell_length_b 7.2624
_cell_length_c 18.1696
_cell_angle_alpha 90.00
_cell_angle_beta 90.00
_cell_angle_gamma 120.00
loop_
_atom_site_label
_atom_site_type_symbol
_atom_site_fract_x
_atom_site_fract_y
_atom_site_fract_z
Sr1 Sr 0.0000 0.5000 0.0000
Th1 Th 0.0000 0.0000 0.5000
Pa1 Pa 0.0000 0.5000 0.5000
N1 N 0.0000 0.0000 0.2353
N2 N 0.0140 0.5070 0.7754
```

Computed, not measured: a geometry-optimized ZrAlBF2 structure at the PBE level of DFT.

uncorrected formation energy: -0.124 eV/atom

```
data_ZrAlBF2
_space_group_name_H-M_alt 'P 4/m m m'
_space_group_IT_number 123
_space_group_name_Hall '-P 4 2'
_cell_length_a 4.024
_cell_length_b 4.024
_cell_length_c 4.867
_cell_angle_alpha 90.00
_cell_angle_beta 90.00
_cell_angle_gamma 90.00
loop_
_atom_site_label
_atom_site_type_symbol
_atom_site_fract_x
_atom_site_fract_y
_atom_site_fract_z
Zr1 Zr 0.000 0.000 0.000
Al1 Al 0.500 0.500 0.000
B1 B 0.000 0.000 0.500
F1 F 0.000 0.500 0.500
```

Computed, not measured: a geometry-optimized Ca2DyPb9 structure at the PBE level of DFT.

ΔH_f (0 K): -0.31 eV/atom

```
data_Ca2DyPb9
_space_group_name_H-M_alt 'P 4/m m m'
_space_group_IT_number 123
_space_group_name_Hall '-P 4 2'
_cell_length_a 4.912
_cell_length_b 4.912
_cell_length_c 14.771
_cell_angle_alpha 90.00
_cell_angle_beta 90.00
_cell_angle_gamma 90.00
loop_
_atom_site_label
_atom_site_type_symbol
_atom_site_fract_x
_atom_site_fract_y
_atom_site_fract_z
Ca1 Ca 0.000 0.000 0.169
Dy1 Dy 0.000 0.000 0.500
Pb1 Pb 0.000 0.500 0.000
Pb2 Pb 0.000 0.500 0.335
Pb3 Pb 0.500 0.500 0.167
Pb4 Pb 0.500 0.500 0.500
```

Computed, not measured: a geometry-optimized NdLuPu4 structure at the PBE level of DFT.

ΔH_f (0 K): 0.24 eV/atom

```
data_NdLuPu4
_space_group_name_H-M_alt 'F -4 3 m'
_space_group_IT_number 216
_space_group_name_Hall 'F -4 2 3'
_cell_length_a 8.745
_cell_length_b 8.745
_cell_length_c 8.745
_cell_angle_alpha 90.00
_cell_angle_beta 90.00
_cell_angle_gamma 90.00
loop_
_atom_site_label
_atom_site_type_symbol
_atom_site_fract_x
_atom_site_fract_y
_atom_site_fract_z
Nd1 Nd 0.000 0.000 0.000
Lu1 Lu 0.250 0.250 0.750
Pu1 Pu 0.125 0.125 0.375
```

Computed, not measured: a geometry-optimized AcPr2Tl2Cd2 structure at the PBE level of DFT.

ΔH_f (0 K): -0.22 eV/atom

```
data_AcPr2Tl2Cd2
_space_group_name_H-M_alt 'R -3 m'
_space_group_IT_number 166
_space_group_name_Hall '-R 3 2"'
_cell_length_a 5.1097
_cell_length_b 5.1097
_cell_length_c 28.4765
_cell_angle_alpha 90.00
_cell_angle_beta 90.00
_cell_angle_gamma 120.00
loop_
_atom_site_label
_atom_site_type_symbol
_atom_site_fract_x
_atom_site_fract_y
_atom_site_fract_z
Ac1 Ac 0.0000 0.0000 0.0000
Pr1 Pr 0.0000 0.0000 0.1347
Tl1 Tl 0.0000 0.0000 0.2654
Cd1 Cd 0.0000 0.0000 0.4262
```

Computed, not measured: a geometry-optimized NdCd3Cu8 structure at the PBE level of DFT.

relative energy among the computed polymorphs: 0.000 eV/f.u.
ΔH_f (0 K): -0.08 eV/atom

```
data_NdCd3Cu8
_space_group_name_H-M_alt 'R 3 m'
_space_group_IT_number 160
_space_group_name_Hall 'R 3 -2"'
_cell_length_a 5.0821
_cell_length_b 5.0821
_cell_length_c 25.3671
_cell_angle_alpha 90.00
_cell_angle_beta 90.00
_cell_angle_gamma 120.00
loop_
_atom_site_label
_atom_site_type_symbol
_atom_site_fract_x
_atom_site_fract_y
_atom_site_fract_z
Nd1 Nd 0.0000 0.0000 0.0000
Cd1 Cd 0.0000 0.0000 0.1284
Cd2 Cd 0.0000 0.0000 0.4981
Cd3 Cd 0.0000 0.0000 0.6162
Cu1 Cu 0.0000 0.0000 0.3114
Cu2 Cu 0.0000 0.0000 0.8126
Cu3 Cu 0.0009 0.5004 0.0647
Cu4 Cu 0.1675 0.3351 0.8937
```

Computed, not measured: a geometry-optimized TiCuSi structure at the PBE level of DFT.

uncorrected formation energy: -0.012 eV/atom

```
data_TiCuSi
_space_group_name_H-M_alt 'I 4 m m'
_space_group_IT_number 107
_space_group_name_Hall 'I 4 -2'
_cell_length_a 3.388
_cell_length_b 3.388
_cell_length_c 7.674
_cell_angle_alpha 90.00
_cell_angle_beta 90.00
_cell_angle_gamma 90.00
loop_
_atom_site_label
_atom_site_type_symbol
_atom_site_fract_x
_atom_site_fract_y
_atom_site_fract_z
Ti1 Ti 0.000 0.000 0.000
Cu1 Cu 0.000 0.000 0.667
Si1 Si 0.000 0.000 0.341
```

Computed, not measured: a geometry-optimized HPtRh2Au structure at the PBE level of DFT.

relative energy among the computed polymorphs: 0.233 eV/f.u.

```
data_HPtRh2Au
_space_group_name_H-M_alt 'P 4/m m m'
_space_group_IT_number 123
_space_group_name_Hall '-P 4 2'
_cell_length_a 3.961
_cell_length_b 3.961
_cell_length_c 4.119
_cell_angle_alpha 90.00
_cell_angle_beta 90.00
_cell_angle_gamma 90.00
loop_
_atom_site_label
_atom_site_type_symbol
_atom_site_fract_x
_atom_site_fract_y
_atom_site_fract_z
H1 H 0.000 0.000 0.000
Pt1 Pt 0.500 0.500 0.500
Rh1 Rh 0.000 0.500 0.000
Au1 Au 0.000 0.000 0.500
```